A plane-wave DFT calculation with PBE was carried out for a geometry-optimized Ta2NbGa structure.

```
Ta2NbGa
1.0
-3.0737 0.9600 1.1193
-1.2699 -3.0387 -0.8809
1.3223 -2.1365 5.4636
Ga Ta Nb
1 2 1
direct
0.5000 0.5000 0.5000
0.0000 0.0000 0.7435
0.0000 0.0000 0.2565
0.5000 0.5000 0.0000
```

Computed properties:
As for the formation energy from the elements: -156 meV per atom. Its total moment is 0.0 μB per cell. The calculated total energy is -9.3564 eV per atom.

=====

A plane-wave DFT calculation with PBE was carried out for a geometry-optimized TaNb7Ga4 structure.

```
TaNb7Ga4
1.0
4.9434 0.0000 0.0000
2.4717 8.7857 -0.0763
2.4717 0.2292 5.1593
Ga Nb Ta
4 7 1
direct
0.5790 0.2281 0.6139
0.4210 0.7719 0.3861
0.7194 0.6812 0.8800
0.2806 0.3188 0.1200
0.0391 0.6243 0.2975
0.7902 0.9113 0.5083
0.6491 0.4542 0.2477
0.5000 0.0000 0.0000
0.9609 0.3757 0.7025
0.2098 0.0887 0.4917
0.3509 0.5458 0.7523
0.0000 0.0000 0.0000
```

Computed properties:
As for the formation energy from the elements: 172 meV per atom. Its total moment is 0.0 μB per cell. The calculated total energy is -7.6986 eV per atom.